The following is a DFT calculation (PBEsol) of an optimized crystal structure of RbSeN2O.

Computed properties:
* raw formation energy: 12.7 eV per formula unit

Cell: 5.516 5.516 4.947 Å, 90.00 90.00 90.00°
Space group P4/mmm (No. 123)
Inequivalent atoms, fractional coordinates:
Rb1 0.000 0.000 0.000
Se1 0.500 0.500 0.500
N1 0.000 0.500 0.000
O1 0.000 0.000 0.500